# 1
ThZn | PBE-GGA | optimized geometry

Structure (CIF):
```
data_ThZn
_cell_length_a 3.513
_cell_length_b 5.226
_cell_length_c 10.588
_cell_angle_alpha 90.00
_cell_angle_beta 90.00
_cell_angle_gamma 90.00
_symmetry_space_group_name_H-M 'P 1'
_symmetry_Int_Tables_number 1
loop_
_symmetry_equiv_pos_as_xyz
'x,y,z'
loop_
_atom_site_label
_atom_site_fract_x
_atom_site_fract_y
_atom_site_fract_z
Th1 0.250 0.250 0.068
Th2 0.250 0.750 0.260
Th3 0.750 0.250 0.740
Th4 0.750 0.750 0.932
Zn1 0.250 0.250 0.500
Zn2 0.250 0.750 0.677
Zn3 0.750 0.250 0.323
Zn4 0.750 0.750 0.500
```

Formation energy from the elements (eV/atom): 0.027

# 2
Nd3GdHo2CoTe2 | PBE-GGA | optimized geometry

Structure (CIF):
```
data_Nd3GdHo2CoTe2
_cell_length_a 3.998
_cell_length_b 8.468
_cell_length_c 8.468
_cell_angle_alpha 120.00
_cell_angle_beta 90.00
_cell_angle_gamma 90.00
_symmetry_space_group_name_H-M 'P 1'
_symmetry_Int_Tables_number 1
loop_
_symmetry_equiv_pos_as_xyz
'x,y,z'
loop_
_atom_site_label
_atom_site_fract_x
_atom_site_fract_y
_atom_site_fract_z
Nd1 0.000 0.000 0.000
Nd2 0.000 0.193 0.597
Nd3 0.000 0.597 0.193
Gd1 0.500 0.364 0.364
Ho1 0.500 0.597 0.828
Ho2 0.500 0.828 0.597
Co1 0.000 0.598 0.598
Te1 0.500 0.263 0.929
Te2 0.500 0.929 0.263
```

Calculated total energy (eV per atom): -5.32

# 3
RbReAsO | PBE-GGA | optimized geometry

Structure (CIF):
```
data_RbReAsO
_cell_length_a 3.526
_cell_length_b 8.381
_cell_length_c 6.657
_cell_angle_alpha 90.00
_cell_angle_beta 90.00
_cell_angle_gamma 90.00
_symmetry_space_group_name_H-M 'P 1'
_symmetry_Int_Tables_number 1
loop_
_symmetry_equiv_pos_as_xyz
'x,y,z'
loop_
_atom_site_label
_atom_site_fract_x
_atom_site_fract_y
_atom_site_fract_z
Rb1 0.000 0.183 0.000
Rb2 0.000 0.817 0.500
Re1 0.500 0.422 0.582
Re2 0.500 0.578 0.082
As1 0.000 0.238 0.499
As2 0.000 0.762 0.999
O1 0.500 0.423 0.871
O2 0.500 0.577 0.371
```

ΔE to the lowest computed polymorph (meV per atom): 0.0

# 4
Zr2Mo4As3C3 | PBE-GGA | optimized geometry

Structure (CIF):
```
data_Zr2Mo4As3C3
_cell_length_a 5.706
_cell_length_b 5.706
_cell_length_c 12.667
_cell_angle_alpha 102.83
_cell_angle_beta 102.83
_cell_angle_gamma 60.10
_symmetry_space_group_name_H-M 'P 1'
_symmetry_Int_Tables_number 1
loop_
_symmetry_equiv_pos_as_xyz
'x,y,z'
loop_
_atom_site_label
_atom_site_fract_x
_atom_site_fract_y
_atom_site_fract_z
Zr1 0.035 0.869 0.606
Zr2 0.131 0.965 0.894
Zr3 0.869 0.035 0.106
Zr4 0.965 0.131 0.394
Mo1 0.196 0.360 0.085
Mo2 0.304 0.473 0.414
Mo3 0.360 0.196 0.585
Mo4 0.473 0.304 0.914
Mo5 0.527 0.696 0.086
Mo6 0.640 0.804 0.415
Mo7 0.696 0.527 0.586
Mo8 0.804 0.640 0.915
As1 0.083 0.281 0.749
As2 0.281 0.083 0.249
As3 0.448 0.552 0.750
As4 0.552 0.448 0.250
As5 0.719 0.917 0.751
As6 0.917 0.719 0.251
C1 0.000 0.500 0.500
C2 0.168 0.664 0.000
C3 0.336 0.832 0.500
C4 0.500 0.000 0.000
C5 0.664 0.168 0.500
C6 0.832 0.336 0.000
```

Calculated total energy (eV per atom): -8.93

# 5
GdErTl2Pt4 | PBE-GGA | optimized geometry

Structure (CIF):
```
data_GdErTl2Pt4
_cell_length_a 4.635
_cell_length_b 4.635
_cell_length_c 8.988
_cell_angle_alpha 90.00
_cell_angle_beta 90.00
_cell_angle_gamma 120.00
_symmetry_space_group_name_H-M 'P 1'
_symmetry_Int_Tables_number 1
loop_
_symmetry_equiv_pos_as_xyz
'x,y,z'
loop_
_atom_site_label
_atom_site_fract_x
_atom_site_fract_y
_atom_site_fract_z
Gd1 0.000 0.000 0.000
Er1 0.667 0.333 0.500
Tl1 0.333 0.667 0.251
Tl2 0.333 0.667 0.749
Pt1 0.000 0.000 0.347
Pt2 0.000 0.000 0.653
Pt3 0.667 0.333 0.156
Pt4 0.667 0.333 0.844
```

Calculated total energy (eV per atom): -5.52

# 6
BOsAu | PBE-GGA | optimized geometry

Structure (CIF):
```
data_BOsAu
_cell_length_a 4.070
_cell_length_b 4.070
_cell_length_c 4.070
_cell_angle_alpha 60.00
_cell_angle_beta 60.00
_cell_angle_gamma 60.00
_symmetry_space_group_name_H-M 'P 1'
_symmetry_Int_Tables_number 1
loop_
_symmetry_equiv_pos_as_xyz
'x,y,z'
loop_
_atom_site_label
_atom_site_fract_x
_atom_site_fract_y
_atom_site_fract_z
B1 0.000 0.000 0.000
Os1 0.750 0.750 0.750
Au1 0.500 0.500 0.500
```

Calculated total energy (eV per atom): -5.63

# 7
Cu2Se3S | PBE-GGA | optimized geometry

Structure (CIF):
```
data_Cu2Se3S
_cell_length_a 4.952
_cell_length_b 3.752
_cell_length_c 6.150
_cell_angle_alpha 90.00
_cell_angle_beta 90.07
_cell_angle_gamma 90.00
_symmetry_space_group_name_H-M 'P 1'
_symmetry_Int_Tables_number 1
loop_
_symmetry_equiv_pos_as_xyz
'x,y,z'
loop_
_atom_site_label
_atom_site_fract_x
_atom_site_fract_y
_atom_site_fract_z
Cu1 0.000 0.000 0.000
Cu2 0.475 0.500 0.480
Se1 0.306 0.500 0.873
Se2 0.683 0.500 0.106
Se3 0.815 0.000 0.596
S1 0.175 0.000 0.381
```

ΔE to the lowest computed polymorph (meV per atom): 0.0

# 8
TaBeAgPd | PBE-GGA | optimized geometry

Structure (CIF):
```
data_TaBeAgPd
_cell_length_a 4.383
_cell_length_b 4.383
_cell_length_c 4.383
_cell_angle_alpha 60.00
_cell_angle_beta 60.00
_cell_angle_gamma 60.00
_symmetry_space_group_name_H-M 'P 1'
_symmetry_Int_Tables_number 1
loop_
_symmetry_equiv_pos_as_xyz
'x,y,z'
loop_
_atom_site_label
_atom_site_fract_x
_atom_site_fract_y
_atom_site_fract_z
Ta1 0.000 0.000 0.000
Be1 0.250 0.250 0.250
Ag1 0.500 0.500 0.500
Pd1 0.750 0.750 0.750
```

ΔE to the lowest computed polymorph (meV per atom): 0.0

# 9
Zr2HgB | PBE-GGA | optimized geometry

Structure (CIF):
```
data_Zr2HgB
_cell_length_a 4.753
_cell_length_b 4.753
_cell_length_c 4.753
_cell_angle_alpha 60.00
_cell_angle_beta 60.00
_cell_angle_gamma 60.00
_symmetry_space_group_name_H-M 'P 1'
_symmetry_Int_Tables_number 1
loop_
_symmetry_equiv_pos_as_xyz
'x,y,z'
loop_
_atom_site_label
_atom_site_fract_x
_atom_site_fract_y
_atom_site_fract_z
Zr1 0.000 0.000 0.000
Zr2 0.250 0.250 0.250
Hg1 0.750 0.750 0.750
B1 0.500 0.500 0.500
```

Calculated total energy (eV per atom): -5.04

# 10
Tb2YFe2B2N3 | PBE-GGA | optimized geometry

Structure (CIF):
```
data_Tb2YFe2B2N3
_cell_length_a 10.516
_cell_length_b 10.516
_cell_length_c 10.516
_cell_angle_alpha 161.09
_cell_angle_beta 161.09
_cell_angle_gamma 26.87
_symmetry_space_group_name_H-M 'P 1'
_symmetry_Int_Tables_number 1
loop_
_symmetry_equiv_pos_as_xyz
'x,y,z'
loop_
_atom_site_label
_atom_site_fract_x
_atom_site_fract_y
_atom_site_fract_z
Tb1 0.122 0.122 0.000
Tb2 0.878 0.878 0.000
Y1 0.500 0.500 0.000
Fe1 0.250 0.750 0.500
Fe2 0.750 0.250 0.500
B1 0.312 0.312 0.000
B2 0.688 0.688 0.000
N1 0.000 0.000 0.000
N2 0.385 0.385 0.000
N3 0.615 0.615 0.000
```

Calculated total energy (eV per atom): -8.22

# 11
LaErZn2Pb2 | PBE-GGA | optimized geometry

Structure (CIF):
```
data_LaErZn2Pb2
_cell_length_a 4.627
_cell_length_b 4.627
_cell_length_c 16.561
_cell_angle_alpha 90.00
_cell_angle_beta 90.00
_cell_angle_gamma 120.00
_symmetry_space_group_name_H-M 'P 1'
_symmetry_Int_Tables_number 1
loop_
_symmetry_equiv_pos_as_xyz
'x,y,z'
loop_
_atom_site_label
_atom_site_fract_x
_atom_site_fract_y
_atom_site_fract_z
La1 0.000 0.000 0.000
La2 0.000 0.000 0.500
Er1 0.000 0.000 0.250
Er2 0.000 0.000 0.750
Zn1 0.333 0.667 0.169
Zn2 0.333 0.667 0.331
Zn3 0.667 0.333 0.669
Zn4 0.667 0.333 0.831
Pb1 0.333 0.667 0.617
Pb2 0.333 0.667 0.883
Pb3 0.667 0.333 0.117
Pb4 0.667 0.333 0.383
```

ΔE to the lowest computed polymorph (meV per atom): 0.0

# 12
Pu5Ge4Ir | PBE-GGA | optimized geometry

Structure (CIF):
```
data_Pu5Ge4Ir
_cell_length_a 3.827
_cell_length_b 3.827
_cell_length_c 14.298
_cell_angle_alpha 90.00
_cell_angle_beta 90.00
_cell_angle_gamma 90.00
_symmetry_space_group_name_H-M 'P 1'
_symmetry_Int_Tables_number 1
loop_
_symmetry_equiv_pos_as_xyz
'x,y,z'
loop_
_atom_site_label
_atom_site_fract_x
_atom_site_fract_y
_atom_site_fract_z
Pu1 0.000 0.000 0.000
Pu2 0.000 0.000 0.202
Pu3 0.000 0.000 0.403
Pu4 0.000 0.000 0.597
Pu5 0.000 0.000 0.798
Ge1 0.500 0.500 0.097
Ge2 0.500 0.500 0.311
Ge3 0.500 0.500 0.689
Ge4 0.500 0.500 0.903
Ir1 0.500 0.500 0.500
```

Calculated total energy (eV per atom): -10.37